1.
Ac2Ge3RuPt4 PBE-GGA relaxed; formation energy from the elements = -0.736 eV/atom; raw total energy = -6.2869 eV/atom
1.0
4.473 0.000 0.000
0.000 4.473 0.000
0.000 0.000 10.305
Ac Ge Ru Pt
2 3 1 4
Cartesian
2.236 0.000 2.594 Ac
0.000 2.236 7.711 Ac
0.000 0.000 5.152 Ge
2.236 0.000 9.017 Ge
0.000 2.236 1.287 Ge
2.236 2.236 5.152 Ru
2.236 2.236 0.000 Pt
0.000 0.000 0.000 Pt
2.236 0.000 6.487 Pt
0.000 2.236 3.818 Pt

***

2.
Pr6SnSb2 PBE-GGA relaxed; energy relative to the elements, uncorrected = -0.73 eV/atom; raw total energy = -5.2794 eV/atom
1.0
-3.887 2.001 0.959
-4.079 -7.613 -0.653
3.200 2.557 7.635
Pr Sn Sb
6 1 2
Cartesian
-4.336 -3.464 0.097 Pr
-2.307 -1.089 3.366 Pr
-4.145 -5.112 4.306 Pr
-1.068 -1.993 -0.171 Pr
-0.648 -3.733 5.158 Pr
-3.242 -6.943 1.342 Pr
-1.945 0.998 0.480 Sn
0.774 -0.832 4.870 Sb
-1.652 -4.223 2.112 Sb

***

Please write out number 1 again, unchanged.
Ac2Ge3RuPt4 PBE-GGA relaxed; formation energy from the elements = -0.736 eV/atom; raw total energy = -6.2869 eV/atom
1.0
4.473 0.000 0.000
0.000 4.473 0.000
0.000 0.000 10.305
Ac Ge Ru Pt
2 3 1 4
Cartesian
2.236 0.000 2.594 Ac
0.000 2.236 7.711 Ac
0.000 0.000 5.152 Ge
2.236 0.000 9.017 Ge
0.000 2.236 1.287 Ge
2.236 2.236 5.152 Ru
2.236 2.236 0.000 Pt
0.000 0.000 0.000 Pt
2.236 0.000 6.487 Pt
0.000 2.236 3.818 Pt

***

- Look up the raw total energy of the first one.
  -6.2869 eV/atom

***

Copy entry 1 word for word.
Ac2Ge3RuPt4 PBE-GGA relaxed; formation energy from the elements = -0.736 eV/atom; raw total energy = -6.2869 eV/atom
1.0
4.473 0.000 0.000
0.000 4.473 0.000
0.000 0.000 10.305
Ac Ge Ru Pt
2 3 1 4
Cartesian
2.236 0.000 2.594 Ac
0.000 2.236 7.711 Ac
0.000 0.000 5.152 Ge
2.236 0.000 9.017 Ge
0.000 2.236 1.287 Ge
2.236 2.236 5.152 Ru
2.236 2.236 0.000 Pt
0.000 0.000 0.000 Pt
2.236 0.000 6.487 Pt
0.000 2.236 3.818 Pt

***

Repeat the first record exactly.
Ac2Ge3RuPt4 PBE-GGA relaxed; formation energy from the elements = -0.736 eV/atom; raw total energy = -6.2869 eV/atom
1.0
4.473 0.000 0.000
0.000 4.473 0.000
0.000 0.000 10.305
Ac Ge Ru Pt
2 3 1 4
Cartesian
2.236 0.000 2.594 Ac
0.000 2.236 7.711 Ac
0.000 0.000 5.152 Ge
2.236 0.000 9.017 Ge
0.000 2.236 1.287 Ge
2.236 2.236 5.152 Ru
2.236 2.236 0.000 Pt
0.000 0.000 0.000 Pt
2.236 0.000 6.487 Pt
0.000 2.236 3.818 Pt